Here is a relaxed structure of VNi4Mo from Alexandria via LeMat-Bulk. Energies are from PBE-GGA.

Output
Fermi-level density of states, states/eV/f.u.: 4.483
Energy relative to the lowest polymorph listed for this composition, kJ/mol of formula units: 0
Energy, eV per formula unit: -44.1
Energy of formation, eV per atom: -0.17

Cell lengths 8.084, 3.636, 5.139 Å; angles 90.00, 108.62, 90.00 degrees
Fractional positions:
V: 0.000 0.000 0.000
V: 0.500 0.500 0.000
Ni: 0.168 0.500 0.331
Ni: 0.170 0.500 0.837
Ni: 0.330 0.000 0.163
Ni: 0.332 0.000 0.669
Ni: 0.668 0.000 0.331
Ni: 0.670 0.000 0.837
Ni: 0.830 0.500 0.163
Ni: 0.832 0.500 0.669
Mo: 0.000 0.000 0.500
Mo: 0.500 0.500 0.500